Record 1
Material: LaCoP2
Method: DFT, PBE-GGA
State: relaxed

a b c (Å): 3.2289 3.2289 6.4359
angles (deg): 90.00 90.00 90.00
With the nearest neighbours (Å) after each atom.
Sites, in units of the cell vectors:
La: 0.5000 0.5000 0.7500  8 P 3.11, 2 Co 3.22, 4 La 3.23
P: 0.0000 0.0000 0.0777  1 P 2.22
P: 0.0000 0.0000 0.4223  1 P 2.22
Co: 0.5000 0.5000 0.2500  8 P 2.54

Calculated values
E_form in eV/atom: -0.3160
Energy in eV/atom: -6.029
Space-group type: P4/mmm
Distance to the lowest polymorph of the same formula in meV/atom: 605
D(E_F) in states/eV/cell: 2.84



Record 2
Material: BeFeGe3
Method: DFT, PBE-GGA
State: relaxed

a b c (Å): 4.4828 4.4828 4.4828
angles (deg): 90.00 90.00 90.00
With the nearest neighbours (Å) after each atom.
Sites, in units of the cell vectors:
Ge: 0.5000 0.0000 0.0000  2 Fe 2.24
Ge: 0.0000 0.0000 0.5000  2 Fe 2.24
Be: 0.5000 0.5000 0.5000  12 Ge 3.17
Fe: 0.0000 0.0000 0.0000  6 Ge 2.24
Ge: 0.0000 0.5000 0.0000  2 Fe 2.24

Calculated values
E_form in eV/atom: 0.6149
Energy in eV/atom: -4.593
Space-group type: Pm-3m
Distance to the lowest polymorph of the same formula in meV/atom: 0
D(E_F) in states/eV/cell: 4.14



Record 3
Material: PmZnP2Rh5
Method: DFT, PBE-GGA
State: relaxed

a b c (Å): 4.1052 4.1052 9.4295
angles (deg): 90.00 90.00 90.00
With the nearest neighbours (Å) after each atom.
Sites, in units of the cell vectors:
P: 0.5000 0.5000 0.7386  5 Rh 2.25-2.26
Rh: 0.5000 0.0000 0.8387  2 P 2.26
Zn: 0.0000 0.0000 0.0000  8 Rh 2.55
P: 0.5000 0.5000 0.2614  5 Rh 2.25-2.26
Rh: 0.0000 0.5000 0.1613  2 P 2.26
Rh: 0.0000 0.5000 0.8387  2 P 2.26
Rh: 0.5000 0.5000 0.5000  2 P 2.25
Rh: 0.5000 0.0000 0.1613  2 P 2.26
Pm: 0.0000 0.0000 0.5000  4 Rh 2.90

Calculated values
E_form in eV/atom: -0.6105
Energy in eV/atom: -6.566
Space-group type: P4/mmm
D(E_F) in states/eV/cell: 4.18



Record 4
Material: TaTi2AlBr
Method: DFT, PBE-GGA
State: relaxed

a b c (Å): 4.8967 5.1455 4.8967
angles (deg): 90.00 90.00 90.00
With the nearest neighbours (Å) after each atom.
Sites, in units of the cell vectors:
Br: 0.5000 0.5000 0.5000  4 Al 3.46, 8 Ti 3.55
Ti: 0.5000 0.0000 0.0000  2 Ta 2.45
Ta: 0.0000 0.0000 0.0000  4 Ti 2.45, 2 Al 2.57
Ti: 0.0000 0.0000 0.5000  2 Ta 2.45
Al: 0.0000 0.5000 0.0000  2 Ta 2.57

Calculated values
Energy in eV/atom: -5.688
Energy relative to the elements, uncorrected in eV per atom: 0.92
Space-group type: P4/mmm
D(E_F) in states/eV/cell: 3.89



What did the first record say?
Material: LaCoP2
Method: DFT, PBE-GGA
State: relaxed

a b c (Å): 3.2289 3.2289 6.4359
angles (deg): 90.00 90.00 90.00
With the nearest neighbours (Å) after each atom.
Sites, in units of the cell vectors:
La: 0.5000 0.5000 0.7500  8 P 3.11, 2 Co 3.22, 4 La 3.23
P: 0.0000 0.0000 0.0777  1 P 2.22
P: 0.0000 0.0000 0.4223  1 P 2.22
Co: 0.5000 0.5000 0.2500  8 P 2.54

Calculated values
E_form in eV/atom: -0.3160
Energy in eV/atom: -6.029
Space-group type: P4/mmm
Distance to the lowest polymorph of the same formula in meV/atom: 605
D(E_F) in states/eV/cell: 2.84



Question: The lowest D(E_F) belongs to which entry?
Answer: LaCoP2



Question: Among the records above, which one has the lowest energy?
Answer: PmZnP2Rh5



Question: The highest D(E_F) belongs to which entry?
Answer: PmZnP2Rh5